Record 1
Density functional theory data (PBE-GGA) for an optimized crystal structure of HfSc2Pt.

Crystal system = trigonal
Formation enthalpy at 0 K = -0.135 eV per atom
Energy relative to the lowest polymorph listed for this composition = 0.460 eV/atom
Electronic total energy = -7.300 eV/atom
DOS(E_F) = 0.2 states/eV/f.u.

Unit cell a=10.2332 b=10.2332 c=10.2332 alpha=17.92 beta=17.92 gamma=17.92
Sites, in units of the cell vectors:
Hf  0.0000  0.0000  0.0000
Sc  0.1004  0.1004  0.1004
Sc  0.8996  0.8996  0.8996
Pt  0.5000  0.5000  0.5000

---

Record 2
Density functional theory data (PBE-GGA) for an optimized crystal structure of HfScPt.

Crystal system = cubic
Formation enthalpy at 0 K = -0.701 eV per atom
Energy relative to the lowest polymorph listed for this composition = 0.161 eV/atom
Electronic total energy = -8.143 eV/atom
DOS(E_F) = 3.2 states/eV/f.u.

Unit cell a=4.5573 b=4.5573 c=4.5573 alpha=60.00 beta=60.00 gamma=60.00
Sites, in units of the cell vectors:
Hf  0.0000  0.0000  0.0000
Sc  0.5000  0.5000  0.5000
Pt  0.7500  0.7500  0.7500

---

Record 3
Density functional theory data (PBE-GGA) for an optimized crystal structure of HfSc3Pt2.

Crystal system = orthorhombic
Formation enthalpy at 0 K = -0.928 eV per atom
Electronic total energy = -7.766 eV/atom
DOS(E_F) = 5.8 states/eV/f.u.

Unit cell a=4.5293 b=8.2686 c=6.5104 alpha=90.00 beta=90.00 gamma=90.00
Sites, in units of the cell vectors:
Hf  0.0000  0.0736  0.0000
Hf  0.0000  0.9264  0.5000
Sc  0.0000  0.3297  0.6403
Sc  0.0000  0.6703  0.1403
Sc  0.5000  0.1744  0.3412
Sc  0.5000  0.4252  0.9771
Sc  0.5000  0.5748  0.4771
Sc  0.5000  0.8256  0.8412
Pt  0.0000  0.3427  0.2270
Pt  0.0000  0.6573  0.7270
Pt  0.5000  0.1492  0.7575
Pt  0.5000  0.8508  0.2575

---

Record 4
Density functional theory data (PBE-GGA) for an optimized crystal structure of HfScPt3.

Crystal system = cubic
Formation enthalpy at 0 K = 0.055 eV per atom
Energy relative to the lowest polymorph listed for this composition = 0.895 eV/atom
Electronic total energy = -6.827 eV/atom
DOS(E_F) = 2.6 states/eV/f.u.

Unit cell a=4.8996 b=4.8996 c=4.8996 alpha=90.00 beta=90.00 gamma=90.00
Sites, in units of the cell vectors:
Hf  0.0000  0.0000  0.0000
Sc  0.5000  0.5000  0.5000
Pt  0.0000  0.0000  0.5000
Pt  0.0000  0.5000  0.0000
Pt  0.5000  0.0000  0.0000

---

Record 5
Density functional theory data (PBE-GGA) for an optimized crystal structure of HfSc2Pt2.

Crystal system = tetragonal
Formation enthalpy at 0 K = -0.963 eV per atom
Energy relative to the lowest polymorph listed for this composition = 0.000 eV/atom
Electronic total energy = -7.903 eV/atom
DOS(E_F) = 5.5 states/eV/f.u.

Unit cell a=7.2600 b=7.2600 c=3.7461 alpha=90.00 beta=90.00 gamma=90.00
Sites, in units of the cell vectors:
Hf  0.0000  0.0000  0.0000
Hf  0.5000  0.5000  0.0000
Sc  0.1628  0.3372  0.5000
Sc  0.3372  0.8372  0.5000
Sc  0.6628  0.1628  0.5000
Sc  0.8372  0.6628  0.5000
Pt  0.1395  0.6395  0.0000
Pt  0.3605  0.1395  0.0000
Pt  0.6395  0.8605  0.0000
Pt  0.8605  0.3605  0.0000

---

Record 6
Density functional theory data (PBE-GGA) for an optimized crystal structure of HfScPt2.

Crystal system = tetragonal
Formation enthalpy at 0 K = -1.107 eV per atom
Electronic total energy = -8.199 eV/atom
DOS(E_F) = 3.5 states/eV/f.u.

Unit cell a=3.2491 b=3.2491 c=6.9374 alpha=90.00 beta=90.00 gamma=90.00
Sites, in units of the cell vectors:
Hf  0.0000  0.0000  0.0000
Sc  0.0000  0.0000  0.5000
Pt  0.5000  0.5000  0.2419
Pt  0.5000  0.5000  0.7581